A relaxed ZrSc2Te6 crystal. Source: Alexandria via LeMat-Bulk, functional PBE.

Output
Symmetry ... No. 14
Total DFT energy (no corrections) ... -5.27 eV per atom
Formation energy from raw total energies ... -7.41 eV per formula unit

Lattice parameters (Å, degrees): 7.0045 7.6416 9.6369 90.00 90.90 90.00
Last column: nearest neighbours and their distance in Å.
Fractional coordinates of all 18 atoms:
Zr (0.5000, 0.5000, 0.0000)  6 Te 2.86-2.91
Zr (0.0000, 0.0000, 0.5000)  6 Te 2.86-2.91
Sc (0.9620, 0.3602, 0.7633)  6 Te 2.90-3.10
Sc (0.5380, 0.8602, 0.7367)  6 Te 2.90-3.10
Sc (0.4620, 0.1398, 0.2633)  6 Te 2.90-3.10
Sc (0.0380, 0.6398, 0.2367)  6 Te 2.90-3.10
Te (0.8300, 0.9671, 0.2294)  1 Zr 2.86, 2 Sc 2.90-2.92
Te (0.8330, 0.6636, 0.5697)  1 Zr 2.91, 2 Sc 3.04-3.10
Te (0.8447, 0.6775, 0.9172)  1 Zr 2.89, 2 Sc 2.97-3.08
Te (0.6553, 0.1775, 0.5828)  1 Zr 2.89, 2 Sc 2.97-3.08
Te (0.6670, 0.1636, 0.9303)  1 Zr 2.91, 2 Sc 3.04-3.10
Te (0.6700, 0.4671, 0.2706)  1 Zr 2.86, 2 Sc 2.90-2.92
Te (0.1700, 0.0329, 0.7706)  1 Zr 2.86, 2 Sc 2.90-2.92
Te (0.1670, 0.3364, 0.4303)  1 Zr 2.91, 2 Sc 3.04-3.10
Te (0.1553, 0.3225, 0.0828)  1 Zr 2.89, 2 Sc 2.97-3.08
Te (0.3447, 0.8225, 0.4172)  1 Zr 2.89, 2 Sc 2.97-3.08
Te (0.3330, 0.8364, 0.0697)  1 Zr 2.91, 2 Sc 3.04-3.10
Te (0.3300, 0.5329, 0.7294)  1 Zr 2.86, 2 Sc 2.90-2.92

A relaxed Th6Sc5 crystal. Source: Alexandria via LeMat-Bulk, functional PBE.

Output
Symmetry ... No. 65
Total DFT energy (no corrections) ... -6.75 eV per atom
Relative energy among the computed polymorphs ... 20 meV per atom
Energy of formation ... 2.0 eV/f.u.

Lattice parameters (Å, degrees): 5.5514 6.2717 10.4121 90.00 89.99 63.73
Last column: nearest neighbours and their distance in Å.
Fractional coordinates of all 11 atoms:
Th (0.5000, 0.0000, 0.7063)  6 Sc 3.18-3.51, 4 Th 3.39
Th (0.5000, 0.0000, 0.2937)  6 Sc 3.18-3.51, 4 Th 3.39
Th (0.8486, 0.3028, 0.7952)  5 Sc 3.20-3.51, 5 Th 3.39-3.55
Th (0.8486, 0.3028, 0.2048)  5 Sc 3.20-3.51, 5 Th 3.39-3.55
Th (0.1514, 0.6972, 0.2048)  5 Sc 3.20-3.51, 5 Th 3.39-3.55
Th (0.1514, 0.6972, 0.7952)  5 Sc 3.20-3.51, 5 Th 3.39-3.55
Sc (0.0000, 0.0000, 0.5000)  6 Sc 3.28-3.64, 8 Th 3.51
Sc (0.6369, 0.7263, 0.0000)  1 Sc 3.08, 4 Th 3.20-3.42
Sc (0.3631, 0.2737, 0.0000)  1 Sc 3.08, 4 Th 3.20-3.42
Sc (0.2913, 0.4173, 0.5000)  3 Sc 2.93-3.28, 2 Th 3.18
Sc (0.7087, 0.5827, 0.5000)  3 Sc 2.93-3.28, 2 Th 3.18

A relaxed Th3Sc crystal. Source: Alexandria via LeMat-Bulk, functional PBE.

Output
Symmetry ... No. 25
Total DFT energy (no corrections) ... -7.08 eV per atom
Relative energy among the computed polymorphs ... 39 meV per atom
Energy of formation ... 0.3 eV/f.u.

Lattice parameters (Å, degrees): 3.5034 5.7929 6.0172 90.00 90.00 90.00
Last column: nearest neighbours and their distance in Å.
Fractional coordinates of all 4 atoms:
Sc (0.0000, 0.0000, 0.0001)  10 Th 3.45-3.51, 2 Sc 3.50
Th (0.0000, 0.5000, 0.3283)  10 Th 3.40-3.56, 2 Sc 3.51
Th (0.5000, 0.0000, 0.4950)  4 Sc 3.45-3.51, 8 Th 3.50-3.57
Th (0.5000, 0.5000, 0.8432)  8 Th 3.40-3.57, 4 Sc 3.51